Sr2FeRuF: optimized geometry, PBE+U.

## Properties
Electronic total energy: -21.64 eV per cell
DOS at the Fermi energy: 0.564 states/eV/atom

a b c (Å): 5.016 5.016 4.546
angles (deg): 90.00 90.00 90.00
Fractional positions:
Sr (0.000, 0.500, 0.000)
Sr (0.500, 0.000, 0.000)
Fe (0.000, 0.000, 0.500)
Ru (0.500, 0.500, 0.500)
F (0.000, 0.000, 0.000)